## NdNpPa (PBE-GGA)

Data for an optimized crystal structure of NdNpPa.

Values from the calculation:
raw total energy = -7.608 eV/atom
calculated formation energy = 1.402 eV per atom

Cell lengths 4.9020, 4.9020, 4.9020 Å; angles 60.00, 60.00, 60.00 degrees
Closest atoms and distances in Å follow each position.
Atoms (fractional coordinates):
Nd (0.0000, 0.0000, 0.0000)  4 Pa 3.00, 4 Np 3.00
Np (0.2500, 0.2500, 0.2500)  4 Nd 3.00
Pa (0.7500, 0.7500, 0.7500)  4 Nd 3.00